DFT (PBE+U) results for a relaxed structure of NaV2F.

Geometry as POSCAR:
```
NaV2F
1.0
-5.540 2.190 -0.068
-1.712 -4.210 3.851
-2.235 2.651 6.512
F V Na
2 4 2
Direct
0.500 0.500 0.000
0.250 0.750 0.500
0.375 0.625 0.750
0.875 0.625 0.750
0.375 0.125 0.250
0.375 0.625 0.250
0.750 0.250 0.500
0.000 0.000 0.000
```

Its energy relative to the lowest polymorph listed for this composition is 0 meV per atom. The calculation puts the total moment at 15.4 μB per cell. Its space group is I4_1/amd (141).

***

DFT (PBE+U) results for a relaxed structure of NaV3F.

Geometry as POSCAR:
```
NaV3F
1.0
5.234 0.000 0.000
0.000 5.234 0.000
0.000 0.000 5.234
Na V F
1 3 1
Direct
0.000 0.000 0.000
0.000 0.500 0.000
0.000 0.000 0.500
0.500 0.000 0.000
0.500 0.500 0.500
```

Its energy relative to the lowest polymorph listed for this composition is 1143 meV per atom. The calculation puts the total moment at 12.5 μB per cell. Its space group is Pm-3m (221).

***

DFT (PBE+U) results for a relaxed structure of NaVF5.

Geometry as POSCAR:
```
NaVF5
1.0
-0.212 -5.534 -0.843
0.958 -0.981 -5.432
7.111 -2.781 -0.948
F V Na
10 2 2
Direct
0.800 0.762 0.112
0.939 0.061 0.250
0.061 0.939 0.750
0.297 0.730 0.026
0.270 0.703 0.474
0.238 0.200 0.388
0.762 0.800 0.612
0.200 0.238 0.888
0.730 0.297 0.526
0.703 0.270 0.974
0.000 0.000 0.000
0.000 0.000 0.500
0.473 0.527 0.750
0.527 0.473 0.250
```

The calculation puts the total moment at 2.0 μB per cell. Its space group is C2/c (15). The calculation puts the electronic total energy at -5.37 eV per atom.